[1]
This record from OQMD via LeMat-Bulk describes a geometry-optimized CsLuFeTe3 structure. The functional is PBE.

Computed properties:
**Offset from the most stable computed form**: 0.00 eV/f.u.

a = 17.7268 Å, b = 4.2736 Å, c = 11.5529 Å
α = 90.00°, β = 90.00°, γ = 90.00°
With the nearest neighbours (Å) after each atom.
Fractional positions:
Cs  0.2358  0.2500  0.0232  6 Te 3.76-3.91
Cs  0.2642  0.7500  0.5232  6 Te 3.76-3.91
Cs  0.7358  0.2500  0.4768  6 Te 3.76-3.91
Cs  0.7642  0.7500  0.9768  6 Te 3.76-3.91
Lu  0.0161  0.2500  0.3456  6 Te 2.98-3.09
Lu  0.4839  0.7500  0.8456  6 Te 2.98-3.09
Lu  0.5161  0.2500  0.1544  6 Te 2.98-3.09
Lu  0.9839  0.7500  0.6544  6 Te 2.98-3.09
Fe  0.0087  0.7500  0.0755  4 Te 2.61-2.71, 2 Fe 2.78
Fe  0.4913  0.2500  0.5755  4 Te 2.61-2.71, 2 Fe 2.78
Fe  0.5087  0.7500  0.4245  4 Te 2.61-2.71, 2 Fe 2.78
Fe  0.9913  0.2500  0.9245  4 Te 2.61-2.71, 2 Fe 2.78
Te  0.0799  0.7500  0.8773  3 Fe 2.61-2.71
Te  0.0927  0.2500  0.5754  3 Lu 2.98-3.02
Te  0.1154  0.7500  0.2375  1 Fe 2.66
Te  0.3846  0.2500  0.7375  1 Fe 2.66
Te  0.4073  0.7500  0.0754  3 Lu 2.98-3.02
Te  0.4201  0.2500  0.3773  3 Fe 2.61-2.71
Te  0.5799  0.7500  0.6227  3 Fe 2.61-2.71
Te  0.5927  0.2500  0.9246  3 Lu 2.98-3.02
Te  0.6154  0.7500  0.2625  1 Fe 2.66
Te  0.8846  0.2500  0.7625  1 Fe 2.66
Te  0.9073  0.7500  0.4246  3 Lu 2.98-3.02
Te  0.9201  0.2500  0.1227  3 Fe 2.61-2.71

=====

[2]
This record from OQMD via LeMat-Bulk describes a geometry-optimized CsLuFeTe3 structure. The functional is PBE.

Computed properties:
**Offset from the most stable computed form**: 0.12 eV/f.u.

a = 8.8737 Å, b = 8.8737 Å, c = 11.3543 Å
α = 90.00°, β = 90.00°, γ = 151.67°
With the nearest neighbours (Å) after each atom.
Fractional positions:
Cs  0.2452  0.7548  0.7500  8 Te 3.87-4.13
Cs  0.7548  0.2452  0.2500  8 Te 3.87-4.13
Lu  0.5000  0.5000  0.0000  6 Te 3.01-3.04
Lu  0.5000  0.5000  0.5000  6 Te 3.01-3.04
Fe  0.0334  0.9666  0.2500  4 Te 2.61-2.69
Fe  0.9666  0.0334  0.7500  4 Te 2.61-2.69
Te  0.1173  0.8827  0.0581  1 Fe 2.61
Te  0.1173  0.8827  0.4419  1 Fe 2.61
Te  0.4410  0.5590  0.2500  2 Fe 2.69
Te  0.5590  0.4410  0.7500  2 Fe 2.69
Te  0.8827  0.1173  0.5581  1 Fe 2.61
Te  0.8827  0.1173  0.9419  1 Fe 2.61

=====

[3]
This record from OQMD via LeMat-Bulk describes a geometry-optimized CsMgFe structure. The functional is PBE.

Computed properties:
**Total DFT energy (no corrections)**: -7.3 eV for the cell shown

a = 5.4854 Å, b = 5.4854 Å, c = 5.4854 Å
α = 60.00°, β = 60.00°, γ = 60.00°
With the nearest neighbours (Å) after each atom.
Fractional positions:
Cs  0.0000  0.0000  0.0000  4 Fe 3.36
Mg  0.5000  0.5000  0.5000  4 Fe 3.36
Fe  0.2500  0.2500  0.2500  4 Mg 3.36, 4 Cs 3.36

=====

[4]
This record from OQMD via LeMat-Bulk describes a geometry-optimized CsMgFeS3 structure. The functional is PBE.

Computed properties:
**Offset from the most stable computed form**: 0.51 eV/f.u.

a = 8.0776 Å, b = 8.0776 Å, c = 10.0112 Å
α = 90.00°, β = 90.00°, γ = 152.70°
With the nearest neighbours (Å) after each atom.
Fractional positions:
Cs  0.2436  0.7564  0.7500  8 S 3.45-3.75, 2 Cs 3.81
Cs  0.7564  0.2436  0.2500  8 S 3.45-3.75, 2 Cs 3.81
Mg  0.0281  0.9719  0.2500  4 S 2.36-2.39
Mg  0.9719  0.0281  0.7500  4 S 2.36-2.39
Fe  0.5000  0.5000  0.0000  6 S 2.51-2.68
Fe  0.5000  0.5000  0.5000  6 S 2.51-2.68
S  0.1008  0.8992  0.0398  1 Mg 2.39, 2 Fe 2.51
S  0.1008  0.8992  0.4602  1 Mg 2.39, 2 Fe 2.51
S  0.4395  0.5605  0.2500  2 Mg 2.36
S  0.5605  0.4395  0.7500  2 Mg 2.36
S  0.8992  0.1008  0.5398  1 Mg 2.39, 2 Fe 2.51
S  0.8992  0.1008  0.9602  1 Mg 2.39, 2 Fe 2.51

=====

[5]
This record from OQMD via LeMat-Bulk describes a geometry-optimized CsMgFeS3 structure. The functional is PBE.

Computed properties:
**Offset from the most stable computed form**: 0.00 eV/f.u.

a = 8.3180 Å, b = 3.6249 Å, c = 10.3819 Å
α = 90.00°, β = 110.28°, γ = 90.00°
With the nearest neighbours (Å) after each atom.
Fractional positions:
Cs  0.0098  0.2500  0.2669  6 S 3.46-3.58, 2 Cs 3.62
Cs  0.9902  0.7500  0.7331  6 S 3.46-3.58, 2 Cs 3.62
Mg  0.4975  0.7500  0.3772  4 S 2.40-2.52
Mg  0.5025  0.2500  0.6228  4 S 2.40-2.52
Fe  0.4504  0.2500  0.0964  5 S 2.22-2.37
Fe  0.5496  0.7500  0.9036  5 S 2.22-2.37
S  0.2897  0.7500  0.1345  2 Fe 2.37, 1 Mg 2.51
S  0.3101  0.7500  0.5233  3 Mg 2.40-2.52
S  0.3660  0.2500  0.8684  3 Fe 2.22-2.32
S  0.6340  0.7500  0.1316  3 Fe 2.22-2.32
S  0.6899  0.2500  0.4767  3 Mg 2.40-2.52
S  0.7103  0.2500  0.8655  2 Fe 2.37, 1 Mg 2.51

=====

[6]
This record from OQMD via LeMat-Bulk describes a geometry-optimized CsMgFeTc structure. The functional is PBE.

Computed properties:
**Offset from the most stable computed form**: 0.02 eV/f.u.

a = 4.9611 Å, b = 4.9611 Å, c = 4.9611 Å
α = 60.00°, β = 60.00°, γ = 60.00°
With the nearest neighbours (Å) after each atom.
Fractional positions:
Cs  0.0000  0.0000  0.0000  4 Fe 3.04, 4 Mg 3.04
Mg  0.2500  0.2500  0.2500  4 Tc 3.04, 4 Cs 3.04
Fe  0.7500  0.7500  0.7500  4 Tc 3.04, 4 Cs 3.04
Tc  0.5000  0.5000  0.5000  4 Fe 3.04, 4 Mg 3.04

=====

[7]
This record from OQMD via LeMat-Bulk describes a geometry-optimized CsMgFeTc structure. The functional is PBE.

Computed properties:
**Offset from the most stable computed form**: 0.45 eV/f.u.

a = 4.8654 Å, b = 4.8654 Å, c = 4.8654 Å
α = 60.00°, β = 60.00°, γ = 60.00°
With the nearest neighbours (Å) after each atom.
Fractional positions:
Cs  0.0000  0.0000  0.0000  4 Fe 2.98, 4 Tc 2.98
Mg  0.5000  0.5000  0.5000  4 Fe 2.98, 4 Tc 2.98
Fe  0.2500  0.2500  0.2500  4 Mg 2.98, 4 Cs 2.98
Tc  0.7500  0.7500  0.7500  4 Mg 2.98, 4 Cs 2.98

=====

[8]
This record from OQMD via LeMat-Bulk describes a geometry-optimized CsMgFeTc structure. The functional is PBE.

Computed properties:
**Offset from the most stable computed form**: 0.00 eV/f.u.

a = 4.8881 Å, b = 4.8881 Å, c = 4.8881 Å
α = 60.00°, β = 60.00°, γ = 60.00°
With the nearest neighbours (Å) after each atom.
Fractional positions:
Cs  0.0000  0.0000  0.0000  4 Tc 2.99, 4 Mg 2.99
Mg  0.7500  0.7500  0.7500  4 Fe 2.99, 4 Cs 2.99
Fe  0.5000  0.5000  0.5000  4 Tc 2.99, 4 Mg 2.99
Tc  0.2500  0.2500  0.2500  4 Fe 2.99, 4 Cs 2.99

=====

| no. | M_tot (μB/f.u.) |
| --- | --- |
| 1 | 3.70 |
| 2 | 3.99 |
| 3 | 2.99 |
| 4 | 4.12 |
| 5 | 2.23 |
| 6 | 4.77 |
| 7 | 3.95 |
| 8 | 3.96 |